{
  "formula": "AgTePtO",
  "functional": "PBE",
  "state": "relaxed",
  "polymorph_energy_mev_per_atom": 305.5,
  "magnetic_moment_mub_per_cell": 0.01,
  "sg": "No. 129",
  "lattice_angstrom": [[-3.4222, 2.3235, -2.9813], [-0.6776, -4.3337, -2.5997], [-4.9087, -1.7803, 4.2471]],
  "species": ["O", "O", "Pt", "Pt", "Ag", "Ag", "Te", "Te"],
  "fractional_positions": [[0.2500, 0.2500, 0.9379], [0.7500, 0.7500, 0.0621], [0.7500, 0.7500, 0.3450], [0.2500, 0.2500, 0.6550], [0.2500, 0.2500, 0.2427], [0.7500, 0.7500, 0.7573], [0.7500, 0.2500, 0.5000], [0.2500, 0.7500, 0.5000]]
}


{
  "formula": "BePAuO",
  "functional": "PBE",
  "state": "relaxed",
  "polymorph_energy_mev_per_atom": 213.7,
  "sg": "No. 129",
  "lattice_angstrom": [[3.7024, 0.0000, 0.0000], [0.0000, 3.7024, 0.0000], [0.0000, 0.0000, 8.4988]],
  "species": ["P", "P", "Be", "Be", "O", "O", "Au", "Au"],
  "fractional_positions": [[0.2500, 0.2500, 0.7042], [0.7500, 0.7500, 0.2958], [0.7500, 0.7500, 0.0183], [0.2500, 0.2500, 0.9817], [0.2500, 0.7500, 0.0000], [0.7500, 0.2500, 0.0000], [0.2500, 0.7500, 0.5000], [0.7500, 0.2500, 0.5000]]
}


{
  "formula": "ReAuNO",
  "functional": "PBE",
  "state": "relaxed",
  "polymorph_energy_mev_per_atom": 120.6,
  "magnetic_moment_mub_per_cell": 0.00,
  "sg": "No. 29",
  "lattice_angstrom": [[5.4276, 0.0000, 0.0000], [0.0000, 6.3679, 0.0000], [0.0000, 0.0000, 6.5340]],
  "species": ["Au", "Au", "Au", "Au", "Re", "Re", "Re", "Re", "N", "N", "N", "N", "O", "O", "O", "O"],
  "fractional_positions": [[0.7069, 0.0155, 0.8199], [0.2069, 0.0155, 0.1801], [0.7931, 0.5155, 0.8199], [0.2931, 0.5155, 0.1801], [0.8788, 0.4918, 0.4061], [0.1212, 0.9918, 0.5939], [0.3788, 0.4918, 0.5939], [0.6212, 0.9918, 0.4061], [0.0860, 0.2873, 0.5352], [0.5860, 0.2873, 0.4648], [0.9140, 0.7873, 0.4648], [0.4140, 0.7873, 0.5352], [0.2305, 0.5030, 0.8501], [0.2695, 0.0030, 0.8501], [0.7695, 0.0030, 0.1499], [0.7305, 0.5030, 0.1499]]
}


{
  "formula": "NaSr2PtN2",
  "functional": "PBE",
  "state": "relaxed",
  "magnetic_moment_mub_per_cell": 0.01,
  "sg": "No. 47",
  "lattice_angstrom": [[3.7893, 0.0000, 0.0000], [0.0000, 4.5852, 0.0000], [0.0000, 0.0000, 7.0119]],
  "species": ["Sr", "Sr", "Na", "Pt", "N", "N"],
  "fractional_positions": [[0.5000, 0.5000, 0.7491], [0.5000, 0.5000, 0.2509], [0.0000, 0.0000, 0.0000], [0.0000, 0.0000, 0.5000], [0.0000, 0.5000, 0.0000], [0.5000, 0.0000, 0.5000]]
}


{
  "formula": "ScHgB",
  "functional": "PBE",
  "state": "relaxed",
  "polymorph_energy_mev_per_atom": 0.0,
  "magnetic_moment_mub_per_cell": 0.00,
  "sg": "No. 216",
  "lattice_angstrom": [[-3.9702, 1.0943, -0.3203], [-1.4890, 1.3363, -3.6139], [-2.6247, -2.3558, -2.1504]],
  "species": ["B", "Hg", "Sc"],
  "fractional_positions": [[0.0000, 0.0000, 0.0000], [0.2500, 0.2500, 0.2500], [0.7500, 0.7500, 0.7500]]
}


{
  "formula": "DyTaPO",
  "functional": "PBE",
  "state": "relaxed",
  "polymorph_energy_mev_per_atom": 1098.6,
  "magnetic_moment_mub_per_cell": 0.05,
  "sg": "No. 129",
  "lattice_angstrom": [[-3.1082, -0.1587, 2.6568], [-2.6211, -0.5266, -3.0979], [0.8511, -7.4689, 0.5495]],
  "species": ["P", "P", "O", "O", "Dy", "Dy", "Ta", "Ta"],
  "fractional_positions": [[0.5000, 0.0000, 0.7527], [0.0000, 0.5000, 0.2473], [0.5000, 0.5000, 0.0000], [0.0000, 0.0000, 0.0000], [0.0000, 0.0000, 0.5000], [0.5000, 0.5000, 0.5000], [0.0000, 0.5000, 0.8922], [0.5000, 0.0000, 0.1078]]
}


| no. | E_tot (eV/atom) |
| --- | --- |
| 1 | -4.15 |
| 2 | -4.85 |
| 3 | -7.21 |
| 4 | -5.03 |
| 5 | -4.48 |
| 6 | -7.54 |